CoAs2Ir: relaxed, PBE.

Its size of the total moment is 1.65 μB per cell. The energy above the lowest structure with this stoichiometry comes out at 240 meV per atom. The calculation puts the formation energy at 0.07 eV per atom. The calculation puts the calculated density at 11566 kg/m3.

Cell and atoms, written as CIF:
```
data_CoAs2Ir
_chemical_formula_sum 'Co3 As6 Ir3'
_cell_length_a 2.9665
_cell_length_b 2.9665
_cell_length_c 22.6625
_cell_angle_alpha 90.00
_cell_angle_beta 90.00
_cell_angle_gamma 120.00
_space_group_name_H-M_alt 'R -3 m'
_space_group_IT_number 166
_space_group_name_Hall '-R 3 2"'
loop_
_atom_site_label
_atom_site_fract_x
_atom_site_fract_y
_atom_site_fract_z
Co1 0.0000 0.0000 0.0000
As1 0.0000 0.0000 0.2560
Ir1 0.0000 0.0000 0.5000
```

---

CoAsIr2: relaxed, PBE.

Its size of the total moment is 2.50 μB per cell. The calculation puts the formation energy at 0.09 eV per atom. The calculation puts the calculated density at 15273 kg/m3.

Cell and atoms, written as CIF:
```
data_CoAsIr2
_chemical_formula_sum 'Co2 As2 Ir4'
_cell_length_a 3.812
_cell_length_b 2.790
_cell_length_c 10.598
_cell_angle_alpha 90.00
_cell_angle_beta 90.00
_cell_angle_gamma 90.00
_space_group_name_H-M_alt 'A m m 2'
_space_group_IT_number 38
loop_
_space_group_symop_operation_xyz
'x,y,z'
'-x,-y,z'
'-x,y,z'
'x,-y,z'
'x,y+1/2,z+1/2'
'-x,-y+1/2,z+1/2'
'-x,y+1/2,z+1/2'
'x,-y+1/2,z+1/2'
loop_
_atom_site_label
_atom_site_fract_x
_atom_site_fract_y
_atom_site_fract_z
Co1 0.000 0.000 0.000
As1 0.500 0.000 0.407
Ir1 0.000 0.000 0.260
Ir2 0.500 0.000 0.632
```

---

CoAsIr2: relaxed, PBE.

Its size of the total moment is 7.60 μB per cell. The calculation puts the formation energy at 0.62 eV per atom. The calculation puts the calculated density at 10911 kg/m3.

Cell and atoms, written as CIF:
```
data_CoAsIr2
_chemical_formula_sum 'Co4 As4 Ir8'
_cell_length_a 5.321
_cell_length_b 5.321
_cell_length_c 11.145
_cell_angle_alpha 90.00
_cell_angle_beta 90.00
_cell_angle_gamma 90.00
_space_group_name_H-M_alt 'I -4 2 d'
_space_group_IT_number 122
_space_group_name_Hall 'I -4 2bw'
loop_
_atom_site_label
_atom_site_fract_x
_atom_site_fract_y
_atom_site_fract_z
Co1 0.000 0.000 0.000
As1 0.000 0.000 0.500
Ir1 0.238 0.250 0.125
```

---

CoAsIr2: relaxed, PBE.

Its size of the total moment is 3.56 μB per cell. The calculation puts the formation energy at 0.12 eV per atom. The calculation puts the calculated density at 15227 kg/m3.

Cell and atoms, written as CIF:
```
data_CoAsIr2
_chemical_formula_sum 'Co2 As2 Ir4'
_cell_length_a 8.635
_cell_length_b 2.823
_cell_length_c 4.686
_cell_angle_alpha 90.00
_cell_angle_beta 98.24
_cell_angle_gamma 90.00
_space_group_name_H-M_alt 'C 1 2/m 1'
_space_group_IT_number 12
loop_
_space_group_symop_operation_xyz
'x,y,z'
'-x,-y,-z'
'-x,y,-z'
'x,-y,z'
'x+1/2,y+1/2,z'
'-x+1/2,-y+1/2,-z'
'-x+1/2,y+1/2,-z'
'x+1/2,-y+1/2,z'
loop_
_atom_site_label
_atom_site_fract_x
_atom_site_fract_y
_atom_site_fract_z
Co1 0.000 0.000 0.000
As1 0.000 0.500 0.500
Ir1 0.242 0.500 0.240
```

---

CoAsIr2: relaxed, PBE.

Its size of the total moment is 3.52 μB per cell. The calculation puts the formation energy at 0.39 eV per atom. The calculation puts the calculated density at 14813 kg/m3.

Cell and atoms, written as CIF:
```
data_CoAsIr2
_chemical_formula_sum 'Co2 As2 Ir4'
_cell_length_a 2.743
_cell_length_b 4.822
_cell_length_c 8.786
_cell_angle_alpha 90.00
_cell_angle_beta 90.00
_cell_angle_gamma 90.00
_space_group_name_H-M_alt 'C m m 2'
_space_group_IT_number 35
loop_
_space_group_symop_operation_xyz
'x,y,z'
'-x,-y,z'
'-x,y,z'
'x,-y,z'
'x+1/2,y+1/2,z'
'-x+1/2,-y+1/2,z'
'-x+1/2,y+1/2,z'
'x+1/2,-y+1/2,z'
loop_
_atom_site_label
_atom_site_fract_x
_atom_site_fract_y
_atom_site_fract_z
Co1 0.000 0.000 0.000
As1 0.000 0.500 0.236
Ir1 0.000 0.000 0.492
Ir2 0.000 0.500 0.759
```

---

Co2AsIr: relaxed, PBE.

Its size of the total moment is 2.97 μB per cell. The calculation puts the formation energy at 0.12 eV per atom. The calculation puts the calculated density at 12426 kg/m3.

Cell and atoms, written as CIF:
```
data_Co2AsIr
_chemical_formula_sum 'Co2 As1 Ir1'
_cell_length_a 2.799
_cell_length_b 2.799
_cell_length_c 6.568
_cell_angle_alpha 90.00
_cell_angle_beta 90.00
_cell_angle_gamma 90.00
_space_group_name_H-M_alt 'P 4/m m m'
_space_group_IT_number 123
_space_group_name_Hall '-P 4 2'
loop_
_atom_site_label
_atom_site_fract_x
_atom_site_fract_y
_atom_site_fract_z
Co1 0.000 0.000 0.236
As1 0.500 0.500 0.000
Ir1 0.500 0.500 0.500
```

---

Co2AsIr: relaxed, PBE.

Its size of the total moment is 5.38 μB per cell. The calculation puts the formation energy at 0.12 eV per atom. The calculation puts the calculated density at 12310 kg/m3.

Cell and atoms, written as CIF:
```
data_Co2AsIr
_chemical_formula_sum 'Co4 As2 Ir2'
_cell_length_a 2.925
_cell_length_b 4.156
_cell_length_c 8.545
_cell_angle_alpha 90.00
_cell_angle_beta 90.00
_cell_angle_gamma 90.00
_space_group_name_H-M_alt 'I m m 2'
_space_group_IT_number 44
loop_
_space_group_symop_operation_xyz
'x,y,z'
'-x,-y,z'
'-x,y,z'
'x,-y,z'
'x+1/2,y+1/2,z+1/2'
'-x+1/2,-y+1/2,z+1/2'
'-x+1/2,y+1/2,z+1/2'
'x+1/2,-y+1/2,z+1/2'
loop_
_atom_site_label
_atom_site_fract_x
_atom_site_fract_y
_atom_site_fract_z
Co1 0.000 0.000 0.000
Co2 0.000 0.500 0.225
As1 0.000 0.000 0.511
Ir1 0.000 0.500 0.776
```

---

Co2AsIr: relaxed, PBE.

Its size of the total moment is 7.82 μB per cell. The calculation puts the formation energy at 0.13 eV per atom. The calculation puts the calculated density at 12325 kg/m3.

Cell and atoms, written as CIF:
```
data_Co2AsIr
_chemical_formula_sum 'Co6 As3 Ir3'
_cell_length_a 2.7593
_cell_length_b 2.7593
_cell_length_c 23.6001
_cell_angle_alpha 90.00
_cell_angle_beta 90.00
_cell_angle_gamma 120.00
_space_group_name_H-M_alt 'R -3 m'
_space_group_IT_number 166
_space_group_name_Hall '-R 3 2"'
loop_
_atom_site_label
_atom_site_fract_x
_atom_site_fract_y
_atom_site_fract_z
Co1 0.0000 0.0000 0.2451
As1 0.0000 0.0000 0.5000
Ir1 0.0000 0.0000 0.0000
```

---

Co2AsIr: relaxed, PBE.

Its size of the total moment is 2.74 μB per cell. The calculation puts the formation energy at 0.12 eV per atom. The calculation puts the calculated density at 12357 kg/m3.

Cell and atoms, written as CIF:
```
data_Co2AsIr
_chemical_formula_sum 'Co2 As1 Ir1'
_cell_length_a 2.746
_cell_length_b 3.610
_cell_length_c 5.219
_cell_angle_alpha 90.00
_cell_angle_beta 90.00
_cell_angle_gamma 90.00
_space_group_name_H-M_alt 'P m m m'
_space_group_IT_number 47
loop_
_space_group_symop_operation_xyz
'x,y,z'
'-x,-y,-z'
'-x,-y,z'
'x,y,-z'
'x,-y,-z'
'-x,y,z'
'-x,y,-z'
'x,-y,z'
loop_
_atom_site_label
_atom_site_fract_x
_atom_site_fract_y
_atom_site_fract_z
Co1 0.000 0.000 0.248
As1 0.500 0.500 0.500
Ir1 0.500 0.500 0.000
```

---

CoAsIr2: relaxed, PBE.

Its size of the total moment is 1.58 μB per cell. The calculation puts the formation energy at 0.18 eV per atom. The calculation puts the calculated density at 15272 kg/m3.

Cell and atoms, written as CIF:
```
data_CoAsIr2
_chemical_formula_sum 'Co1 As1 Ir2'
_cell_length_a 2.806
_cell_length_b 3.669
_cell_length_c 5.474
_cell_angle_alpha 90.00
_cell_angle_beta 90.00
_cell_angle_gamma 90.00
_space_group_name_H-M_alt 'P m m 2'
_space_group_IT_number 25
loop_
_space_group_symop_operation_xyz
'x,y,z'
'-x,-y,z'
'-x,y,z'
'x,-y,z'
loop_
_atom_site_label
_atom_site_fract_x
_atom_site_fract_y
_atom_site_fract_z
Co1 0.000 0.000 0.000
As1 0.500 0.500 0.740
Ir1 0.000 0.000 0.488
Ir2 0.500 0.500 0.205
```

---

Co2AsIr: relaxed, PBE.

Its size of the total moment is 2.20 μB per cell. The calculation puts the formation energy at 0.19 eV per atom. The calculation puts the calculated density at 12281 kg/m3.

Cell and atoms, written as CIF:
```
data_Co2AsIr
_chemical_formula_sum 'Co2 As1 Ir1'
_cell_length_a 4.340
_cell_length_b 4.340
_cell_length_c 2.764
_cell_angle_alpha 90.00
_cell_angle_beta 90.00
_cell_angle_gamma 90.00
_space_group_name_H-M_alt 'P 4/m m m'
_space_group_IT_number 123
_space_group_name_Hall '-P 4 2'
loop_
_atom_site_label
_atom_site_fract_x
_atom_site_fract_y
_atom_site_fract_z
Co1 0.000 0.500 0.000
As1 0.000 0.000 0.500
Ir1 0.500 0.500 0.500
```

---

Co2AsIr: relaxed, PBE.

Its size of the total moment is 5.73 μB per cell. The calculation puts the formation energy at 0.12 eV per atom. The calculation puts the calculated density at 12379 kg/m3.

Cell and atoms, written as CIF:
```
data_Co2AsIr
_chemical_formula_sum 'Co4 As2 Ir2'
_cell_length_a 2.889
_cell_length_b 4.276
_cell_length_c 8.363
_cell_angle_alpha 90.00
_cell_angle_beta 90.00
_cell_angle_gamma 90.00
_space_group_name_H-M_alt 'I m m m'
_space_group_IT_number 71
_space_group_name_Hall '-I 2 2'
loop_
_atom_site_label
_atom_site_fract_x
_atom_site_fract_y
_atom_site_fract_z
Co1 0.000 0.000 0.224
As1 0.000 0.500 0.500
Ir1 0.000 0.500 0.000
```